No. 1
Here is crystalline MgSbIr2Au at its relaxed geometry from Alexandria via LeMat-Bulk. Energies are from PBE.

Cell lengths 5.016, 5.032, 5.016 Å; angles 90.00, 90.00, 90.00 degrees
Atoms (fractional coordinates):
Mg  0.500  0.500  0.500
Ir  0.500  0.000  0.000
Ir  0.000  0.000  0.500
Sb  0.000  0.500  0.000
Au  0.000  0.000  0.000

Values from the calculation:
* E_tot: -3.916 eV/atom
* total magnetization: 0.04 μB/f.u.
* crystal system: tetragonal


No. 2
Here is crystalline MgSnIrAu at its relaxed geometry from Alexandria via LeMat-Bulk. Energies are from PBE.

Cell lengths 4.647, 4.647, 4.647 Å; angles 60.00, 60.00, 60.00 degrees
Atoms (fractional coordinates):
Au  0.500  0.500  0.500
Mg  0.750  0.750  0.750
Ir  0.000  0.000  0.000
Sn  0.250  0.250  0.250

Values from the calculation:
* E_tot: -4.635 eV/atom
* total magnetization: 0.00 μB/f.u.
* crystal system: cubic


No. 3
Here is crystalline MgTeIrAu2 at its relaxed geometry from Alexandria via LeMat-Bulk. Energies are from PBE.

Cell lengths 5.076, 4.851, 5.076 Å; angles 90.00, 90.00, 90.00 degrees
Atoms (fractional coordinates):
Te  0.500  0.500  0.500
Ir  0.000  0.000  0.000
Mg  0.000  0.500  0.000
Au  0.000  0.000  0.500
Au  0.500  0.000  0.000

Values from the calculation:
* E_tot: -3.454 eV/atom
* total magnetization: 0.02 μB/f.u.
* crystal system: tetragonal


No. 4
Here is crystalline TmMgIrAu at its relaxed geometry from Alexandria via LeMat-Bulk. Energies are from PBE.

Cell lengths 4.745, 4.745, 4.745 Å; angles 60.00, 60.00, 60.00 degrees
Atoms (fractional coordinates):
Au  0.000  0.000  0.000
Tm  0.750  0.750  0.750
Mg  0.250  0.250  0.250
Ir  0.500  0.500  0.500

Values from the calculation:
* E_tot: -5.213 eV/atom
* total magnetization: 0.00 μB/f.u.
* crystal system: cubic